Below is a relaxed structure of TbYGaCo, with properties calculated at the PBE level.

a = 4.9423 Å, b = 4.9423 Å, c = 4.9423 Å
α = 60.00°, β = 60.00°, γ = 60.00°
Site moments in Bohr magnetons follow the coordinates.
Fractional coordinates of all 4 atoms:
1 Y 0.5000 0.5000 0.5000  -0.08
2 Co 0.2500 0.2500 0.2500  1.24
3 Tb 0.0000 0.0000 0.0000  -0.10
4 Ga 0.7500 0.7500 0.7500  0.06

Output
For the relative energy among the computed polymorphs, the calculation gives 66.9 meV/atom. The calculation puts the total energy at -5.626 eV/atom. As for the space-group type: F-43m, No. 216.